w:
## Ag2Te2F (GGA-PBE)

Data for an optimized crystal structure of Ag2Te2F.

Lattice parameters (Å, degrees): 5.7258 6.3165 6.5881 88.21 86.32 89.19
Last column: nearest neighbours and their distance in Å.
Positions (direct):
Ag (0.0000, 0.0000, 0.0000)  1 F 2.39
Ag (0.0474, 0.2201, 0.5911)  1 F 2.60, 1 Te 2.87
Ag (0.4126, 0.1301, 0.2610)  1 F 2.29
Ag (0.5092, 0.5304, 0.0335)  1 F 2.33
Te (0.0406, 0.3933, 0.1550)  4 Ag 2.73-3.04, 1 Te 3.06
Te (0.0816, 0.6449, 0.7502)  1 F 2.20
Te (0.5604, 0.1254, 0.6698)  1 Te 2.83, 3 Ag 2.87-3.06
Te (0.5970, 0.6832, 0.6137)  3 Te 2.83-3.04, 1 Ag 2.92, 1 F 3.15
F (0.1023, 0.8353, 0.4640)  1 Te 2.20
F (0.6399, 0.8536, 0.1411)  3 Ag 2.29-2.39



x:
## Ag2Te2F (GGA-PBE)

Data for an optimized crystal structure of Ag2Te2F.

Lattice parameters (Å, degrees): 5.8139 3.1932 6.3945 90.00 109.04 90.00
Last column: nearest neighbours and their distance in Å.
Positions (direct):
Ag (0.0791, 0.0000, 0.3070)  2 F 2.45
Ag (0.9209, 0.0000, 0.6930)  2 F 2.45
Te (0.4342, 0.0000, 0.7432)  3 Ag 2.88-2.95, 3 Te 3.12-3.19
Te (0.5658, 0.0000, 0.2568)  3 Ag 2.88-2.95, 3 Te 3.12-3.19
F (0.0000, 0.5000, 0.0000)  4 Ag 2.45



y:
## Ag2Te2F (GGA-PBE)

Data for an optimized crystal structure of Ag2Te2F.

Lattice parameters (Å, degrees): 4.6393 6.3158 8.9664 80.93 75.70 71.09
Last column: nearest neighbours and their distance in Å.
Positions (direct):
Ag (0.0000, 0.0000, 0.0000)  1 F 2.71, 4 Te 2.84-2.97
Ag (0.1361, 0.4007, 0.6499)  1 F 2.67, 2 Te 2.74-2.82, 2 Ag 2.91-2.96
Ag (0.5057, 0.6558, 0.3451)  4 Te 2.76-2.98, 2 F 2.78-2.85
Ag (0.7864, 0.1071, 0.6201)  1 F 2.69, 2 Te 2.80-2.85, 2 Ag 2.91-2.96
Te (0.0966, 0.3732, 0.3543)  4 Ag 2.74-3.03
Te (0.4377, 0.2741, 0.9017)  4 Ag 2.80-2.97, 1 Te 2.91
Te (0.5543, 0.7093, 0.8299)  2 F 2.09-2.13
Te (0.9160, 0.9347, 0.3272)  4 Ag 2.76-2.95
F (0.3045, 0.7664, 0.6497)  1 Te 2.13
F (0.7588, 0.6559, 0.0215)  1 Te 2.09



Most stable: y



w:
## Ag2Te2F (GGA-PBE)

Data for an optimized crystal structure of Ag2Te2F.

Lattice parameters (Å, degrees): 6.0276 6.0889 7.3176 84.94 70.16 72.67
Last column: nearest neighbours and their distance in Å.
Positions (direct):
Ag (0.0000, 0.0000, 0.0000)  2 F 2.40-2.61
Ag (0.0009, 0.8361, 0.3956)  1 F 2.31
Ag (0.5030, 0.8412, 0.6455)  1 F 2.43
Ag (0.8988, 0.5541, 0.1456)  1 F 2.32
Te (0.3531, 0.2972, 0.5319)  1 F 2.28
Te (0.4383, 0.8024, 0.0685)  4 Ag 2.75-2.98, 1 Te 2.88
Te (0.5176, 0.2357, 0.1143)  1 Ag 2.70, 2 Te 2.88-2.90
Te (0.8341, 0.4086, 0.5201)  3 Ag 2.74-3.02, 1 Te 3.03
F (0.0808, 0.8658, 0.6784)  3 Ag 2.31-2.43
F (0.1475, 0.3601, 0.8560)  1 Te 2.28, 1 Ag 2.32



x:
## Ag2Te2F (GGA-PBE)

Data for an optimized crystal structure of Ag2Te2F.

Lattice parameters (Å, degrees): 5.2937 5.3037 5.5361 71.98 61.91 64.65
Last column: nearest neighbours and their distance in Å.
Positions (direct):
Ag (0.0000, 0.0000, 0.0000)  1 F 2.50
Ag (0.4272, 0.6335, 0.5733)  1 F 2.81, 4 Te 2.83-2.97, 1 Ag 2.92
Te (0.0353, 0.1874, 0.4132)  4 Ag 2.87-3.03, 1 Te 2.90, 1 F 3.18
Te (0.4653, 0.4878, 0.1036)  1 F 2.26
F (0.8053, 0.7169, 0.8840)  1 Te 2.26, 1 Ag 2.50



Most stable: w



w:
## Ag2Te2F (GGA-PBE)

Data for an optimized crystal structure of Ag2Te2F.

Lattice parameters (Å, degrees): 6.4348 6.4926 6.5147 98.51 97.47 117.63
Last column: nearest neighbours and their distance in Å.
Positions (direct):
Ag (0.1943, 0.2434, 0.1366)  1 F 2.68, 2 Te 2.86-2.95, 1 Ag 2.97
Ag (0.2170, 0.6644, 0.4135)  2 F 2.78-2.84, 3 Te 2.80-2.96, 2 Ag 2.97-3.10
Ag (0.7830, 0.3356, 0.5865)  2 F 2.78-2.84, 3 Te 2.80-2.96, 2 Ag 2.97-3.10
Ag (0.8057, 0.7566, 0.8634)  1 F 2.68, 2 Te 2.86-2.95, 1 Ag 2.97
Te (0.2708, 0.8201, 0.0303)  3 Ag 2.83-3.01, 2 Te 2.92-3.02
Te (0.2819, 0.4298, 0.7233)  1 F 2.21
Te (0.7181, 0.5702, 0.2767)  1 F 2.21
Te (0.7292, 0.1799, 0.9697)  3 Ag 2.83-3.01, 2 Te 2.92-3.02
F (0.2854, 0.1363, 0.5073)  1 Te 2.21
F (0.7146, 0.8637, 0.4927)  1 Te 2.21



x:
## Ag2Te2F (GGA-PBE)

Data for an optimized crystal structure of Ag2Te2F.

Lattice parameters (Å, degrees): 5.8350 6.5078 6.7244 90.89 90.23 116.15
Last column: nearest neighbours and their distance in Å.
Positions (direct):
Ag (0.0115, 0.0234, 0.2741)  1 F 2.34
Ag (0.3184, 0.6421, 0.0869)  1 F 2.25
Ag (0.6816, 0.3579, 0.9131)  1 F 2.25
Ag (0.9885, 0.9766, 0.7259)  1 F 2.34
Te (0.2308, 0.4618, 0.4681)  2 Ag 2.79-2.85, 2 Te 2.98
Te (0.4580, 0.9162, 0.7567)  4 Ag 2.76-2.95
Te (0.5420, 0.0838, 0.2433)  4 Ag 2.76-2.95
Te (0.7692, 0.5382, 0.5319)  2 Ag 2.79-2.85, 2 Te 2.98
F (0.1356, 0.2865, 0.9517)  2 Ag 2.25-2.34
F (0.8644, 0.7135, 0.0483)  2 Ag 2.25-2.34



y:
## Ag2Te2F (GGA-PBE)

Data for an optimized crystal structure of Ag2Te2F.

Lattice parameters (Å, degrees): 5.1220 5.1574 5.2336 78.25 76.97 68.97
Last column: nearest neighbours and their distance in Å.
Positions (direct):
Ag (0.1689, 0.1620, 0.2782)  1 F 2.27
Ag (0.8311, 0.8380, 0.7218)  1 F 2.27
Te (0.3384, 0.3415, 0.6567)  3 Ag 2.76-2.93, 1 Te 2.78, 1 F 2.97
Te (0.6616, 0.6585, 0.3433)  3 Ag 2.76-2.93, 1 Te 2.78, 1 F 2.97
F (0.0000, 0.0000, 0.0000)  2 Ag 2.27



Most stable: x



w:
## AgTeF (GGA-PBE)

Data for an optimized crystal structure of AgTeF.

Lattice parameters (Å, degrees): 3.4326 3.4326 6.1080 90.00 90.00 120.00
Last column: nearest neighbours and their distance in Å.
Positions (direct):
Ag (0.0000, 0.0000, 0.0000)  3 F 2.35
Te (0.6667, 0.3333, 0.3411)  3 Ag 2.88
F (0.3333, 0.6667, 0.7947)  3 Ag 2.35



x:
## AgTeF (GGA-PBE)

Data for an optimized crystal structure of AgTeF.

Lattice parameters (Å, degrees): 11.2415 3.2833 7.5898 90.00 107.33 90.00
Last column: nearest neighbours and their distance in Å.
Positions (direct):
Ag (0.1002, 0.0000, 0.3831)  3 F 2.38-2.41
Ag (0.3998, 0.5000, 0.6169)  3 F 2.38-2.41
Ag (0.6002, 0.5000, 0.3831)  3 F 2.38-2.41
Ag (0.8998, 0.0000, 0.6169)  3 F 2.38-2.41
Te (0.0692, 0.5000, 0.8702)  1 F 2.64, 2 Ag 2.80, 1 Te 2.85
Te (0.4308, 0.0000, 0.1298)  1 F 2.64, 2 Ag 2.80, 1 Te 2.85
Te (0.5692, 0.0000, 0.8702)  1 F 2.64, 2 Ag 2.80, 1 Te 2.85
Te (0.9308, 0.5000, 0.1298)  1 F 2.64, 2 Ag 2.80, 1 Te 2.85
F (0.1845, 0.5000, 0.6146)  3 Ag 2.38-2.41, 1 Te 2.64
F (0.3155, 0.0000, 0.3854)  3 Ag 2.38-2.41, 1 Te 2.64
F (0.6845, 0.0000, 0.6146)  3 Ag 2.38-2.41, 1 Te 2.64
F (0.8155, 0.5000, 0.3854)  3 Ag 2.38-2.41, 1 Te 2.64



Most stable: x



w:
## TiAg2F (GGA-PBE)

Data for an optimized crystal structure of TiAg2F.

Lattice parameters (Å, degrees): 6.4294 6.4294 6.4294 90.00 90.00 90.00
Last column: nearest neighbours and their distance in Å.
Positions (direct):
Ti (0.0000, 0.0000, 0.0000)  8 Ag 2.78
Ti (0.0000, 0.5000, 0.5000)  8 Ag 2.78
Ti (0.5000, 0.0000, 0.5000)  8 Ag 2.78
Ti (0.5000, 0.5000, 0.0000)  8 Ag 2.78
Ag (0.2500, 0.2500, 0.2500)  4 F 2.78, 4 Ti 2.78
Ag (0.2500, 0.2500, 0.7500)  4 F 2.78, 4 Ti 2.78
Ag (0.2500, 0.7500, 0.2500)  4 F 2.78, 4 Ti 2.78
Ag (0.2500, 0.7500, 0.7500)  4 F 2.78, 4 Ti 2.78
Ag (0.7500, 0.2500, 0.2500)  4 F 2.78, 4 Ti 2.78
Ag (0.7500, 0.2500, 0.7500)  4 F 2.78, 4 Ti 2.78
Ag (0.7500, 0.7500, 0.2500)  4 F 2.78, 4 Ti 2.78
Ag (0.7500, 0.7500, 0.7500)  4 F 2.78, 4 Ti 2.78
F (0.0000, 0.0000, 0.5000)  8 Ag 2.78
F (0.0000, 0.5000, 0.0000)  8 Ag 2.78
F (0.5000, 0.0000, 0.0000)  8 Ag 2.78
F (0.5000, 0.5000, 0.5000)  8 Ag 2.78



x:
## TiAg2F (GGA-PBE)

Data for an optimized crystal structure of TiAg2F.

Lattice parameters (Å, degrees): 7.5714 7.5714 4.8853 90.00 90.00 90.00
Last column: nearest neighbours and their distance in Å.
Positions (direct):
Ti (0.0000, 0.0000, 0.0000)  2 F 2.44
Ti (0.0000, 0.5000, 0.2500)  2 F 2.44
Ti (0.5000, 0.0000, 0.7500)  2 F 2.44
Ti (0.5000, 0.5000, 0.5000)  2 F 2.44
Ag (0.1974, 0.2500, 0.6250)  2 F 2.49, 2 Ag 2.57
Ag (0.2500, 0.6974, 0.8750)  2 F 2.49, 2 Ag 2.57
Ag (0.2500, 0.8026, 0.3750)  2 F 2.49, 2 Ag 2.57
Ag (0.3026, 0.2500, 0.1250)  2 F 2.49, 2 Ag 2.57
Ag (0.6974, 0.7500, 0.1250)  2 F 2.49, 2 Ag 2.57
Ag (0.7500, 0.1974, 0.3750)  2 F 2.49, 2 Ag 2.57
Ag (0.7500, 0.3026, 0.8750)  2 F 2.49, 2 Ag 2.57
Ag (0.8026, 0.7500, 0.6250)  2 F 2.49, 2 Ag 2.57
F (0.0000, 0.0000, 0.5000)  2 Ti 2.44, 4 Ag 2.49
F (0.0000, 0.5000, 0.7500)  2 Ti 2.44, 4 Ag 2.49
F (0.5000, 0.0000, 0.2500)  2 Ti 2.44, 4 Ag 2.49
F (0.5000, 0.5000, 0.0000)  2 Ti 2.44, 4 Ag 2.49



Most stable: x